A relaxed structure of TbYInCu2, computed with PBE.

Output
As for the calculated density: 7.53 Mg/m³. The calculation puts the spin magnetization at 0.021 Bohr magnetons per cell. As for the total energy: -4.64 eV/atom.

Unit cell a=3.6143 b=7.3234 c=7.3234 alpha=33.86 beta=90.00 gamma=90.00
Element x y z (fractional)
Tb 0.0000 0.0000 0.0000
Y 0.0000 0.2654 0.2654
In 0.5000 0.6334 0.6334
Cu 0.5000 0.4320 0.4320
Cu 0.5000 0.8342 0.8342

***

A relaxed structure of InCuTcW, computed with PBE.

Output
As for the calculated density: 12.13 Mg/m³. The calculation puts the spin magnetization at 0.003 Bohr magnetons per cell. The offset from the most stable computed form is 0.000 eV per atom. As for the total energy: -7.10 eV/atom.

Unit cell a=4.4663 b=4.4663 c=4.4663 alpha=60.00 beta=60.00 gamma=60.00
Element x y z (fractional)
In 0.0000 0.0000 0.0000
Cu 0.2500 0.2500 0.2500
Tc 0.7500 0.7500 0.7500
W 0.5000 0.5000 0.5000

***

A relaxed structure of YInCuTc, computed with PBE.

Output
As for the calculated density: 8.06 Mg/m³. The calculation puts the spin magnetization at 0.007 Bohr magnetons per cell. The offset from the most stable computed form is 0.000 eV per atom. As for the total energy: -5.74 eV/atom.

Unit cell a=4.7384 b=4.7384 c=4.7384 alpha=60.00 beta=60.00 gamma=60.00
Element x y z (fractional)
Y 0.0000 0.0000 0.0000
In 0.5000 0.5000 0.5000
Cu 0.7500 0.7500 0.7500
Tc 0.2500 0.2500 0.2500

***

A relaxed structure of YInCuTc, computed with PBE.

Output
As for the calculated density: 7.92 Mg/m³. The calculation puts the spin magnetization at 0.006 Bohr magnetons per cell. The offset from the most stable computed form is 0.283 eV per atom. As for the total energy: -5.45 eV/atom.

Unit cell a=4.7666 b=4.7666 c=4.7666 alpha=60.00 beta=60.00 gamma=60.00
Element x y z (fractional)
Y 0.0000 0.0000 0.0000
In 0.2500 0.2500 0.2500
Cu 0.5000 0.5000 0.5000
Tc 0.7500 0.7500 0.7500

***

A relaxed structure of InCuTe, computed with PBE.

Output
As for the calculated density: 6.50 Mg/m³. The offset from the most stable computed form is 0.000 eV per atom. As for the total energy: -3.24 eV/atom.

Unit cell a=4.4747 b=4.4747 c=7.8077 alpha=90.00 beta=90.00 gamma=90.00
Element x y z (fractional)
In 0.2500 0.2500 0.1698
In 0.7500 0.7500 0.8302
Cu 0.2500 0.7500 0.5000
Cu 0.7500 0.2500 0.5000
Te 0.2500 0.2500 0.6959
Te 0.7500 0.7500 0.3041

***

A relaxed structure of ThInCuTe3, computed with PBE.

Output
As for the calculated density: 6.77 Mg/m³. The calculation puts the spin magnetization at 0.005 Bohr magnetons per cell. As for the total energy: -4.58 eV/atom.

Unit cell a=8.0892 b=8.0892 c=11.4984 alpha=90.00 beta=90.00 gamma=148.87
Element x y z (fractional)
Th 0.0000 0.0000 0.0000
Th 0.0000 0.0000 0.5000
In 0.2466 0.7534 0.7500
In 0.7534 0.2466 0.2500
Cu 0.4696 0.5304 0.2500
Cu 0.5304 0.4696 0.7500
Te 0.0741 0.9259 0.2500
Te 0.3636 0.6364 0.0690
Te 0.3636 0.6364 0.4310
Te 0.6364 0.3636 0.5690
Te 0.6364 0.3636 0.9310
Te 0.9259 0.0741 0.7500

***

A relaxed structure of InCu3Te4W, computed with PBE.

Output
As for the calculated density: 6.26 Mg/m³. The calculation puts the spin magnetization at 1.909 Bohr magnetons per cell. As for the total energy: -4.15 eV/atom.

Unit cell a=6.4235 b=6.4235 c=6.4235 alpha=90.00 beta=90.00 gamma=90.00
Element x y z (fractional)
In 0.0000 0.0000 0.0000
Cu 0.0000 0.5000 0.5000
Cu 0.5000 0.0000 0.5000
Cu 0.5000 0.5000 0.0000
Te 0.2662 0.2662 0.2662
Te 0.2662 0.7338 0.7338
Te 0.7338 0.2662 0.7338
Te 0.7338 0.7338 0.2662
W 0.5000 0.5000 0.5000

***

A relaxed structure of ThInCu5, computed with PBE.

Output
As for the calculated density: 9.89 Mg/m³. The calculation puts the spin magnetization at 0.027 Bohr magnetons per cell. As for the total energy: -4.31 eV/atom.

Unit cell a=8.3147 b=5.0702 c=10.5898 alpha=90.00 beta=90.00 gamma=90.00
Element x y z (fractional)
Th 0.2471 0.2500 0.0599
Th 0.2529 0.7500 0.5599
Th 0.7471 0.2500 0.4401
Th 0.7529 0.7500 0.9401
In 0.1393 0.7500 0.8612
In 0.3607 0.2500 0.3612
In 0.6393 0.7500 0.6388
In 0.8607 0.2500 0.1388
Cu 0.0597 0.7500 0.1048
Cu 0.0680 0.0005 0.3120
Cu 0.0680 0.4995 0.3120
Cu 0.0846 0.2500 0.5165
Cu 0.1821 0.2500 0.7447
Cu 0.3179 0.7500 0.2447
Cu 0.4154 0.7500 0.0165
Cu 0.4320 0.9995 0.8120
Cu 0.4320 0.5005 0.8120
Cu 0.4403 0.2500 0.6048
Cu 0.5597 0.7500 0.3952
Cu 0.5680 0.0005 0.1880
Cu 0.5680 0.4995 0.1880
Cu 0.5846 0.2500 0.9835
Cu 0.6821 0.2500 0.7553
Cu 0.8179 0.7500 0.2553
Cu 0.9154 0.7500 0.4835
Cu 0.9320 0.9995 0.6880
Cu 0.9320 0.5005 0.6880
Cu 0.9403 0.2500 0.8952